(1)
DFT (GGA-PBE) results for TiSiPt after structural relaxation.

Lattice parameters (Å, degrees): 4.2189 4.2189 2.9016 90.00 90.00 120.00
Space group P-6m2 (No. 187)
Symmetry-distinct sites (fractional):
Ti1 0.0000 0.0000 0.0000 [1 per cell]
Si1 0.6667 0.3333 0.5000 [1 per cell]
Pt1 0.3333 0.6667 0.5000 [1 per cell]

Fermi-level density of states in states/eV per cell: 1.4
Formation energy without anion corrections in eV per atom: -0.91
Volume in Å³ per cell: 44.7

(2)
DFT (GGA-PBE) results for MnRe2Ru after structural relaxation.

Lattice parameters (Å, degrees): 8.982 2.720 4.669 90.00 99.85 90.00
Space group C2/m (No. 12)
Symmetry-distinct sites (fractional):
Mn1 0.000 0.000 0.000 [2 per cell]
Re1 0.248 0.000 0.751 [4 per cell]
Ru1 0.000 0.500 0.500 [2 per cell]

Formation enthalpy at 0 K in eV/atom: 0.080
Fermi-level density of states in states/eV per cell: 7.1
Volume in Å³ per cell: 112.4

Number 1: DFT total energy -7.367 eV/atom. Number 2: DFT total energy -10.755 eV/atom.